The following is a DFT calculation (PBE) of a relaxed Na2Cd7Au crystal.

## Properties
Volume: 1253 Å³ per cell
Total DFT energy (no corrections): -0.085 Ry/atom
M_tot: 0.00 μB per atom

```
data_Na2Cd7Au
_chemical_formula_sum 'Na8 Cd28 Au4'
_cell_length_a 10.7797
_cell_length_b 10.7797
_cell_length_c 10.7797
_cell_angle_alpha 90.00
_cell_angle_beta 90.00
_cell_angle_gamma 90.00
_symmetry_space_group_name_H-M 'F m -3 m'
_symmetry_Int_Tables_number 225
_symmetry_space_group_name_Hall '-F 4 2 3'
loop_
_atom_site_label
_atom_site_fract_x
_atom_site_fract_y
_atom_site_fract_z
_atom_site_occupancy
Na1 0.2500 0.2500 0.2500 1
Cd1 0.0000 0.0000 0.0000 1
Cd2 0.0000 0.0000 0.2529 1
Au1 0.0000 0.0000 0.5000 1
```

***

The following is a DFT calculation (PBE) of a relaxed Na3CdAu crystal.

## Properties
Relative energy among the computed polymorphs: 2.36 eV/f.u.
Volume: 179 Å³ per cell
Total DFT energy (no corrections): -0.098 Ry/atom
M_tot: 0.00 μB per atom

```
data_Na3CdAu
_chemical_formula_sum 'Na3 Cd1 Au1'
_cell_length_a 5.6363
_cell_length_b 5.6363
_cell_length_c 5.6363
_cell_angle_alpha 90.00
_cell_angle_beta 90.00
_cell_angle_gamma 90.00
_symmetry_space_group_name_H-M 'P m -3 m'
_symmetry_Int_Tables_number 221
_symmetry_space_group_name_Hall '-P 4 2 3'
loop_
_atom_site_label
_atom_site_fract_x
_atom_site_fract_y
_atom_site_fract_z
_atom_site_occupancy
Na1 0.0000 0.0000 0.5000 1
Cd1 0.0000 0.0000 0.0000 1
Au1 0.5000 0.5000 0.5000 1
```

***

The following is a DFT calculation (PBE) of a relaxed Na3CdAu crystal.

## Properties
Relative energy among the computed polymorphs: 0.13 eV/f.u.
Volume: 255 Å³ per cell
Total DFT energy (no corrections): -0.131 Ry/atom
M_tot: 0.00 μB per atom

```
data_Na3CdAu
_chemical_formula_sum 'Na6 Cd2 Au2'
_cell_length_a 5.9119
_cell_length_b 5.5311
_cell_length_c 8.0712
_cell_angle_alpha 90.00
_cell_angle_beta 104.85
_cell_angle_gamma 90.00
_symmetry_space_group_name_H-M 'P 1 21/m 1'
_symmetry_Int_Tables_number 11
loop_
_symmetry_equiv_pos_as_xyz
'x,y,z'
'-x,-y,-z'
'-x,y+1/2,-z'
'x,-y+1/2,z'
loop_
_atom_site_label
_atom_site_fract_x
_atom_site_fract_y
_atom_site_fract_z
_atom_site_occupancy
Na1 0.0000 0.0000 0.0000 1
Na2 0.3593 0.2500 0.3907 1
Na3 0.4683 0.2500 0.8610 1
Cd1 0.0519 0.7500 0.3717 1
Au1 0.1918 0.7500 0.7368 1
```

***

The following is a DFT calculation (PBE) of a relaxed Na2CdAu crystal.

## Properties
Volume: 95 Å³ per cell
Total DFT energy (no corrections): -0.139 Ry/atom
M_tot: 0.00 μB per atom

```
data_Na2CdAu
_chemical_formula_sum 'Na2 Cd1 Au1'
_cell_length_a 3.8275
_cell_length_b 3.8275
_cell_length_c 6.5020
_cell_angle_alpha 90.00
_cell_angle_beta 90.00
_cell_angle_gamma 90.00
_symmetry_space_group_name_H-M 'P 4/m m m'
_symmetry_Int_Tables_number 123
_symmetry_space_group_name_Hall '-P 4 2'
loop_
_atom_site_label
_atom_site_fract_x
_atom_site_fract_y
_atom_site_fract_z
_atom_site_occupancy
Na1 0.0000 0.0000 0.2298 1
Cd1 0.5000 0.5000 0.5000 1
Au1 0.5000 0.5000 0.0000 1
```

***

The following is a DFT calculation (PBE) of a relaxed Na8Cd3Au crystal.

## Properties
Volume: 795 Å³ per cell
Total DFT energy (no corrections): -0.103 Ry/atom
M_tot: 0.00 μB per atom

```
data_Na8Cd3Au
_chemical_formula_sum 'Na16 Cd6 Au2'
_cell_length_a 10.5365
_cell_length_b 10.3960
_cell_length_c 8.9526
_cell_angle_alpha 90.00
_cell_angle_beta 125.82
_cell_angle_gamma 90.00
_symmetry_space_group_name_H-M 'C 1 2/m 1'
_symmetry_Int_Tables_number 12
loop_
_symmetry_equiv_pos_as_xyz
'x,y,z'
'-x,-y,-z'
'-x,y,-z'
'x,-y,z'
'x+1/2,y+1/2,z'
'-x+1/2,-y+1/2,-z'
'-x+1/2,y+1/2,-z'
'x+1/2,-y+1/2,z'
loop_
_atom_site_label
_atom_site_fract_x
_atom_site_fract_y
_atom_site_fract_z
_atom_site_occupancy
Na1 0.1221 0.0000 0.2625 1
Na2 0.1217 0.2392 0.7427 1
Na3 0.1411 0.5000 0.2618 1
Cd1 0.0000 0.2498 0.0000 1
Cd2 0.0000 0.5000 0.5000 1
Au1 0.0000 0.0000 0.5000 1
```

***

The following is a DFT calculation (PBE) of a relaxed Na12Cd3Au crystal.

## Properties
Volume: 462 Å³ per cell
Total DFT energy (no corrections): -0.105 Ry/atom
M_tot: 0.00 μB per atom

```
data_Na12Cd3Au
_chemical_formula_sum 'Na12 Cd3 Au1'
_cell_length_a 4.9511
_cell_length_b 4.9511
_cell_length_c 18.8298
_cell_angle_alpha 90.00
_cell_angle_beta 90.00
_cell_angle_gamma 90.00
_symmetry_space_group_name_H-M 'P 4/m m m'
_symmetry_Int_Tables_number 123
_symmetry_space_group_name_Hall '-P 4 2'
loop_
_atom_site_label
_atom_site_fract_x
_atom_site_fract_y
_atom_site_fract_z
_atom_site_occupancy
Na1 0.0000 0.0000 0.0000 1
Na2 0.0000 0.0000 0.2411 1
Na3 0.0000 0.0000 0.5000 1
Na4 0.0000 0.5000 0.1117 1
Na5 0.0000 0.5000 0.3706 1
Cd1 0.5000 0.5000 0.2432 1
Cd2 0.5000 0.5000 0.5000 1
Au1 0.5000 0.5000 0.0000 1
```

***

Number 1: calculated density 5.46 g/cm3. Number 2: calculated density 3.51 g/cm3. Number 3: calculated density 4.93 g/cm3. Number 4: calculated density 6.20 g/cm3. Number 5: calculated density 3.00 g/cm3. Number 6: calculated density 2.91 g/cm3.